Version w
SrBrF2 GGA-PBEsol optimized geometry; Fermi-level density of states = 3.01 states/eV/f.u.
1.0
1.879 1.085 9.032
-1.879 1.085 9.032
0.000 -2.169 9.032
Sr Br F
1 1 2
Cartesian
0.000 0.000 0.000 Sr
0.000 0.000 13.548 Br
0.000 0.000 10.041 F
0.000 0.000 17.055 F

Version x
SrBrF2 GGA-PBEsol optimized geometry; Fermi-level density of states = 4.85 states/eV/f.u.
1.0
0.000 3.233 3.233
3.233 0.000 3.233
3.233 3.233 0.000
Sr Br F
1 1 2
Cartesian
0.000 0.000 0.000 Sr
3.233 3.233 3.233 Br
1.617 1.617 1.617 F
4.850 4.850 4.850 F

The structure with the least stability is version x.

Version w
TeBrF2 GGA-PBEsol optimized geometry; Fermi-level density of states = 2.79 states/eV/f.u.
1.0
0.000 3.119 3.119
3.119 0.000 3.119
3.119 3.119 0.000
Te Br F
1 1 2
Cartesian
0.000 0.000 0.000 Te
3.119 3.119 3.119 Br
1.559 1.559 1.559 F
4.678 4.678 4.678 F

Version x
TeBrF2 GGA-PBEsol optimized geometry; Fermi-level density of states = 2.68 states/eV/f.u.
1.0
1.617 0.934 8.296
-1.617 0.934 8.296
0.000 -1.867 8.296
Te Br F
1 1 2
Cartesian
0.000 0.000 0.000 Te
0.000 0.000 12.444 Br
0.000 0.000 10.478 F
0.000 0.000 14.409 F

The structure with the least stability is version x.